[1]
Compound: Dy2YFeCo8
Source: OQMD
Functional: PBE
Structure: relaxed

Lattice parameters (Å, degrees): 5.0095 5.0095 23.9899 90.00 90.00 120.00
Space group R-3m (No. 166, hexagonal axes)
Symmetry-distinct sites (fractional):
Dy 0.0000 0.0000 0.1397 [6 per cell]
Y 0.0000 0.0000 0.0000 [3 per cell]
Fe 0.0000 0.0000 0.5000 [3 per cell]
Co 0.0000 0.0000 0.3340 [6 per cell]
Co 0.0022 0.5011 0.9183 [18 per cell]

## Properties
Uncorrected energy in eV per atom: -6.90
Formation energy in eV/atom: -0.1693

---

[2]
Compound: Dy2YFe7Co2
Source: OQMD
Functional: PBE
Structure: relaxed

Lattice parameters (Å, degrees): 5.0453 5.0453 24.3533 90.00 90.00 120.00
Space group R-3m (No. 166, hexagonal axes)
Symmetry-distinct sites (fractional):
Dy 0.0000 0.0000 0.1421 [6 per cell]
Y 0.0000 0.0000 0.0000 [3 per cell]
Fe 0.0000 0.0000 0.5000 [3 per cell]
Fe 0.0011 0.5005 0.0814 [18 per cell]
Co 0.0000 0.0000 0.3325 [6 per cell]

## Properties
Uncorrected energy in eV per atom: -7.43
Formation energy in eV/atom: -0.0922

---

[3]
Compound: Dy2YFe3Co6
Source: OQMD
Functional: PBE
Structure: relaxed

Lattice parameters (Å, degrees): 5.0727 5.0727 23.6218 90.00 90.00 120.00
Space group R-3m (No. 166, hexagonal axes)
Symmetry-distinct sites (fractional):
Dy 0.0000 0.0000 0.1410 [6 per cell]
Y 0.0000 0.0000 0.0000 [3 per cell]
Fe 0.0000 0.0000 0.3331 [6 per cell]
Fe 0.0000 0.0000 0.5000 [3 per cell]
Co 0.9996 0.4998 0.0816 [18 per cell]

## Properties
Uncorrected energy in eV per atom: -7.11
Formation energy in eV/atom: -0.1765

---

[4]
Compound: Dy2YFe2Co7
Source: OQMD
Functional: PBE
Structure: relaxed

Lattice parameters (Å, degrees): 5.0487 5.0487 23.6740 90.00 90.00 120.00
Space group R-3m (No. 166, hexagonal axes)
Symmetry-distinct sites (fractional):
Dy 0.0000 0.0000 0.1409 [6 per cell]
Y 0.0000 0.0000 0.0000 [3 per cell]
Fe 0.0000 0.0000 0.3337 [6 per cell]
Co 0.0000 0.0000 0.5000 [3 per cell]
Co 0.0010 0.5005 0.9182 [18 per cell]

## Properties
Uncorrected energy in eV per atom: -7.01
Formation energy in eV/atom: -0.1758

---

[5]
Compound: Dy2YFe6Co3
Source: OQMD
Functional: PBE
Structure: relaxed

Lattice parameters (Å, degrees): 5.0576 5.0576 24.3261 90.00 90.00 120.00
Space group R-3m (No. 166, hexagonal axes)
Symmetry-distinct sites (fractional):
Dy 0.0000 0.0000 0.1421 [6 per cell]
Y 0.0000 0.0000 0.0000 [3 per cell]
Fe 0.0002 0.5001 0.0815 [18 per cell]
Co 0.0000 0.0000 0.3324 [6 per cell]
Co 0.0000 0.0000 0.5000 [3 per cell]

## Properties
Uncorrected energy in eV per atom: -7.35
Formation energy in eV/atom: -0.1144

---

[6]
Compound: Dy2YFe8Co
Source: OQMD
Functional: PBE
Structure: relaxed

Lattice parameters (Å, degrees): 5.0654 5.0654 24.2314 90.00 90.00 120.00
Space group R-3m (No. 166, hexagonal axes)
Symmetry-distinct sites (fractional):
Dy 0.0000 0.0000 0.1420 [6 per cell]
Y 0.0000 0.0000 0.0000 [3 per cell]
Fe 0.0000 0.0000 0.3327 [6 per cell]
Fe 0.0006 0.5003 0.0814 [18 per cell]
Co 0.0000 0.0000 0.5000 [3 per cell]

## Properties
Uncorrected energy in eV per atom: -7.54
Formation energy in eV/atom: -0.0983

---

[7]
Compound: DyY2Fe2Co7
Source: OQMD
Functional: PBE
Structure: relaxed

Lattice parameters (Å, degrees): 5.0491 5.0491 23.7324 90.00 90.00 120.00
Space group R-3m (No. 166, hexagonal axes)
Symmetry-distinct sites (fractional):
Dy 0.0000 0.0000 0.0000 [3 per cell]
Y 0.0000 0.0000 0.1405 [6 per cell]
Fe 0.0000 0.0000 0.3338 [6 per cell]
Co 0.0000 0.0000 0.5000 [3 per cell]
Co 0.0016 0.5008 0.9184 [18 per cell]

## Properties
Uncorrected energy in eV per atom: -7.13
Formation energy in eV/atom: -0.1406

---

[8]
Compound: Dy6GaCo2
Source: OQMD
Functional: PBE
Structure: relaxed

Lattice parameters (Å, degrees): 9.234 9.529 9.830 90.00 90.00 90.00
Space group Immm (No. 71)
Symmetry-distinct sites (fractional):
Dy 0.000 0.197 0.239 [8 per cell]
Dy 0.188 0.500 0.174 [8 per cell]
Dy 0.219 0.319 0.500 [8 per cell]
Ga 0.000 0.000 0.000 [2 per cell]
Ga 0.000 0.000 0.500 [2 per cell]
Co 0.000 0.336 0.000 [4 per cell]
Co 0.000 0.500 0.385 [4 per cell]

## Properties
Uncorrected energy in eV per atom: -5.27